Li3Co2Cu3O10 | GGA+U | optimized geometry

a b c (Å): 5.0270 5.2779 7.3891
angles (deg): 108.61 99.89 102.61
Positions (direct):
Li  0.2160  0.9354  0.4185
Li  0.5000  0.5000  0.5000
Li  0.7840  0.0646  0.5815
Co  0.1121  0.6917  0.6943
Co  0.8879  0.3083  0.3057
Cu  0.0000  0.5000  0.0000
Cu  0.6982  0.8858  0.9033
Cu  0.3018  0.1142  0.0967
O  0.0556  0.0391  0.8338
O  0.3181  0.7320  0.9546
O  0.1072  0.3304  0.5464
O  0.2093  0.4635  0.2254
O  0.4451  0.8548  0.6569
O  0.5549  0.1452  0.3431
O  0.7907  0.5365  0.7746
O  0.8928  0.6696  0.4536
O  0.6819  0.2680  0.0454
O  0.9444  0.9609  0.1662

Summary:
Offset from the most stable computed form   0 meV per atom
Size of the total moment   4.4 Bohr magnetons per cell
SG   P-1
DFT total energy   -5.239 eV/atom